(1)
VASP calculation (PBE) on an optimized crystal structure of AlSb2O.

Computed properties:
* energy relative to the lowest polymorph listed for this composition: 0.000 eV/atom
* uncorrected formation energy: -127 meV/atom
* total moment: 0.00 μB/atom

a = 7.666 Å, b = 7.666 Å, c = 7.666 Å
α = 138.95°, β = 138.95°, γ = 59.46°
Atoms (fractional coordinates):
Al  0.000  0.000  0.000
Al  0.750  0.250  0.500
Sb  0.205  0.625  0.080
Sb  0.375  0.455  0.580
Sb  0.545  0.125  0.920
Sb  0.875  0.795  0.420
O  0.250  0.750  0.500
O  0.500  0.500  0.000

***

(2)
VASP calculation (PBE) on an optimized crystal structure of SrAc2Tl3Se6.

Computed properties:
* uncorrected formation energy: -1302 meV/atom
* total moment: 0.00 μB/atom

a = 10.239 Å, b = 10.239 Å, c = 9.158 Å
α = 103.56°, β = 103.56°, γ = 25.67°
Atoms (fractional coordinates):
Sr  0.000  0.000  0.000
Ac  0.335  0.335  0.672
Ac  0.665  0.665  0.328
Tl  0.000  0.000  0.500
Tl  0.336  0.336  0.166
Tl  0.664  0.664  0.834
Se  0.162  0.162  0.096
Se  0.173  0.173  0.566
Se  0.494  0.494  0.759
Se  0.506  0.506  0.241
Se  0.827  0.827  0.434
Se  0.838  0.838  0.904

***

(3)
VASP calculation (PBE) on an optimized crystal structure of Mg4In7Pb.

Computed properties:
* energy relative to the lowest polymorph listed for this composition: 0.000 eV/atom
* total moment: 0.00 μB/atom
* formation energy from the elements: -31 meV per atom

a = 3.475 Å, b = 3.475 Å, c = 29.278 Å
α = 90.00°, β = 90.00°, γ = 120.00°
Atoms (fractional coordinates):
Mg  0.333  0.667  0.176
Mg  0.333  0.667  0.421
Mg  0.667  0.333  0.579
Mg  0.667  0.333  0.824
In  0.000  0.000  0.256
In  0.000  0.000  0.500
In  0.000  0.000  0.744
In  0.333  0.667  0.660
In  0.333  0.667  0.906
In  0.667  0.333  0.094
In  0.667  0.333  0.340
Pb  0.000  0.000  0.000